Record 1
First-principles (meta-GGA SCAN) data for a PBEsol-optimized structure of BaLi2Cd, as listed in the Alexandria database.

abc: 4.8289 4.8289 17.2597
angles: 90.00 90.00 120.00
Space group R-3m (No. 166, hexagonal axes)
Symmetry-distinct sites (fractional):
Ba  0.0000  0.0000  0.0000 [3 per cell]
Li  0.0000  0.0000  0.1972 [6 per cell]
Cd  0.0000  0.0000  0.5000 [3 per cell]

Summary:
- Energy of formation from the pure elements: -175 meV/atom
- Total DFT energy (no corrections): -18.861 eV/atom
- DOS at the Fermi energy: 0.88 states/eV/atom

---

Record 2
First-principles (meta-GGA SCAN) data for a PBEsol-optimized structure of Ba2LiCd, as listed in the Alexandria database.

abc: 4.224 4.224 8.579
angles: 90.00 90.00 90.00
Space group P4/mmm (No. 123)
Symmetry-distinct sites (fractional):
Ba  0.000  0.000  0.229 [2 per cell]
Li  0.500  0.500  0.500 [1 per cell]
Cd  0.500  0.500  0.000 [1 per cell]

Summary:
- Energy of formation from the pure elements: -207 meV/atom
- Total DFT energy (no corrections): -28.183 eV/atom
- DOS at the Fermi energy: 0.79 states/eV/atom

---

Record 3
First-principles (meta-GGA SCAN) data for a PBEsol-optimized structure of Ba2LiCd2, as listed in the Alexandria database.

abc: 8.757 8.757 4.748
angles: 90.00 90.00 90.00
Space group P4/mbm (No. 127)
Symmetry-distinct sites (fractional):
Ba  0.170  0.330  0.000 [4 per cell]
Li  0.000  0.000  0.500 [2 per cell]
Cd  0.126  0.626  0.500 [4 per cell]

Summary:
- Energy of formation from the pure elements: -227 meV/atom
- Total DFT energy (no corrections): -28.691 eV/atom
- DOS at the Fermi energy: 0.99 states/eV/atom

---

Record 4
First-principles (meta-GGA SCAN) data for a PBEsol-optimized structure of BaLi2Cd2, as listed in the Alexandria database.

abc: 8.494 8.494 3.360
angles: 90.00 90.00 90.00
Space group P4/mbm (No. 127)
Symmetry-distinct sites (fractional):
Ba  0.000  0.000  0.000 [2 per cell]
Li  0.119  0.381  0.000 [4 per cell]
Cd  0.168  0.668  0.500 [4 per cell]

Summary:
- Energy of formation from the pure elements: -204 meV/atom
- Total DFT energy (no corrections): -21.236 eV/atom
- DOS at the Fermi energy: 0.51 states/eV/atom

---

Record 5
First-principles (meta-GGA SCAN) data for a PBEsol-optimized structure of BaLiCd4, as listed in the Alexandria database.

abc: 8.492 8.492 8.492
angles: 90.00 90.00 90.00
Space group F-43m (No. 216)
Symmetry-distinct sites (fractional):
Ba  0.000  0.000  0.000 [4 per cell]
Li  0.250  0.250  0.750 [4 per cell]
Cd  0.124  0.124  0.376 [16 per cell]

Summary:
- Energy of formation from the pure elements: -260 meV/atom
- Total DFT energy (no corrections): -27.526 eV/atom
- DOS at the Fermi energy: 0.45 states/eV/atom

---

Record 6
First-principles (meta-GGA SCAN) data for a PBEsol-optimized structure of BaLi2Cd, as listed in the Alexandria database.

abc: 3.974 4.536 7.003
angles: 90.00 105.82 90.00
Space group Pm (No. 6)
Symmetry-distinct sites (fractional):
Ba  0.000  0.000  0.000 [1 per cell]
Li  0.280  0.500  0.585 [1 per cell]
Li  0.725  0.000  0.488 [1 per cell]
Cd  0.629  0.500  0.267 [1 per cell]

Summary:
- Energy of formation from the pure elements: -131 meV/atom
- Total DFT energy (no corrections): -18.817 eV/atom
- DOS at the Fermi energy: 0.60 states/eV/atom